Record 1
Material: Ti2Ge2B
Method: DFT, PBE
State: relaxed

The final energy is -27.79 eV/cell. For the energy relative to the lowest polymorph listed for this composition, the calculation gives 0.669 eV/atom. The space-group type is I4/mmm. As for the formation energy: 3.91 eV/f.u.

Lattice parameters (Å, degrees): 5.8630 5.8630 5.8630 136.41 136.41 63.34
Closest atoms and distances in Å follow each position.
Fractional coordinates of all 5 atoms:
Ti: 0.2500 0.7500 0.5000  4 Ge 2.54
Ti: 0.7500 0.2500 0.5000  4 Ge 2.54
Ge: 0.1183 0.1183 0.0000  1 Ge 2.36, 4 Ti 2.54
Ge: 0.8817 0.8817 0.0000  1 Ge 2.36, 4 Ti 2.54
B: 0.5000 0.5000 0.0000  8 Ge 3.30, 8 Ti 3.31

Record 2
Material: LiIn2RuAu
Method: DFT, PBE
State: relaxed

The final energy is -16.46 eV/cell. The space-group type is P4/mmm. As for the formation energy: 3.49 eV/f.u.

Lattice parameters (Å, degrees): 4.7294 4.7294 4.3101 90.00 90.00 90.00
Closest atoms and distances in Å follow each position.
Fractional coordinates of all 5 atoms:
Li: 0.0000 0.0000 0.0000  2 Au 2.16, 4 In 2.36
In: 0.0000 0.5000 0.0000  2 Li 2.36
In: 0.5000 0.0000 0.0000  2 Li 2.36
Ru: 0.5000 0.5000 0.5000  8 In 3.20, 4 Au 3.34
Au: 0.0000 0.0000 0.5000  2 Li 2.16

Record 3
Material: PuHgGe
Method: DFT, PBE
State: relaxed

The final energy is -40.06 eV/cell. The space-group type is P-1. As for the formation energy: -0.78 eV/f.u.

Lattice parameters (Å, degrees): 3.9765 4.2279 8.7957 103.64 90.50 90.01
Closest atoms and distances in Å follow each position.
Fractional coordinates of all 6 atoms:
Pu: 0.2464 0.4045 0.3059  6 Ge 3.03-3.24, 1 Hg 3.23
Pu: 0.7536 0.5955 0.6941  6 Ge 3.03-3.24, 1 Hg 3.23
Hg: 0.2505 0.2139 0.9284  1 Ge 2.86, 4 Hg 3.13-3.16
Hg: 0.7495 0.7861 0.0716  1 Ge 2.86, 4 Hg 3.13-3.16
Ge: 0.2517 0.0457 0.5935  2 Ge 2.55
Ge: 0.7483 0.9543 0.4065  2 Ge 2.55

Record 4
Material: SmTm3H8
Method: DFT, PBE
State: relaxed

The final energy is -53.43 eV/cell. The space-group type is Pm-3m.

Lattice parameters (Å, degrees): 5.1398 5.1398 5.1398 90.00 90.00 90.00
Closest atoms and distances in Å follow each position.
Fractional coordinates of all 12 atoms:
Sm: 0.0000 0.0000 0.0000  8 H 2.29
Tm: 0.0000 0.5000 0.5000  8 H 2.20
Tm: 0.5000 0.0000 0.5000  8 H 2.20
Tm: 0.5000 0.5000 0.0000  8 H 2.20
H: 0.2576 0.2576 0.2576  3 Tm 2.20, 1 Sm 2.29
H: 0.2576 0.2576 0.7424  3 Tm 2.20, 1 Sm 2.29
H: 0.2576 0.7424 0.2576  3 Tm 2.20, 1 Sm 2.29
H: 0.2576 0.7424 0.7424  3 Tm 2.20, 1 Sm 2.29
H: 0.7424 0.2576 0.2576  3 Tm 2.20, 1 Sm 2.29
H: 0.7424 0.2576 0.7424  3 Tm 2.20, 1 Sm 2.29
H: 0.7424 0.7424 0.2576  3 Tm 2.20, 1 Sm 2.29
H: 0.7424 0.7424 0.7424  3 Tm 2.20, 1 Sm 2.29

Record 5
Material: Pt2Rh
Method: DFT, PBE
State: relaxed

The final energy is -19.51 eV/cell. The space-group type is Immm. As for the formation energy: -0.07 eV/f.u.

Lattice parameters (Å, degrees): 4.8160 4.8160 4.8160 146.52 131.89 59.89
Closest atoms and distances in Å follow each position.
Fractional coordinates of all 3 atoms:
Pt: 0.1653 0.1653 0.0000  7 Pt 2.76-2.79, 5 Rh 2.77-2.79
Pt: 0.8347 0.8347 0.0000  7 Pt 2.76-2.79, 5 Rh 2.77-2.79
Rh: 0.5000 0.5000 0.0000  10 Pt 2.77-2.79, 2 Rh 2.77

Record 6
Material: ZrH2F
Method: DFT, PBE
State: relaxed

The final energy is -20.71 eV/cell. For the energy relative to the lowest polymorph listed for this composition, the calculation gives 0.000 eV/atom. The space-group type is Fm-3m.

Lattice parameters (Å, degrees): 3.6334 3.6334 3.6334 60.00 60.00 60.00
Closest atoms and distances in Å follow each position.
Fractional coordinates of all 4 atoms:
Zr: 0.0000 0.0000 0.0000  8 H 2.22
H: 0.2500 0.2500 0.2500  4 Zr 2.22, 4 F 2.22
H: 0.7500 0.7500 0.7500  4 Zr 2.22, 4 F 2.22
F: 0.5000 0.5000 0.5000  8 H 2.22

Number 4 is which compound?
SmTm3H8

Among the records above, which one has the lowest final energy?
SmTm3H8

What did the fifth record say?
Material: Pt2Rh
Method: DFT, PBE
State: relaxed

The final energy is -19.51 eV/cell. The space-group type is Immm. As for the formation energy: -0.07 eV/f.u.

Lattice parameters (Å, degrees): 4.8160 4.8160 4.8160 146.52 131.89 59.89
Closest atoms and distances in Å follow each position.
Fractional coordinates of all 3 atoms:
Pt: 0.1653 0.1653 0.0000  7 Pt 2.76-2.79, 5 Rh 2.77-2.79
Pt: 0.8347 0.8347 0.0000  7 Pt 2.76-2.79, 5 Rh 2.77-2.79
Rh: 0.5000 0.5000 0.0000  10 Pt 2.77-2.79, 2 Rh 2.77

Number 4 is which compound?
SmTm3H8